VASP calculation (PBE) on a geometry-optimized Ca2NbAl2 structure.

Computed properties:
DOS at the Fermi energy ... 0.580 states/eV/atom
Excess energy over the best structure of this formula in the dataset ... 347.1 meV per atom
Raw total energy ... -19.0 eV per cell
Energy of formation ... 0.52 eV/atom

a = 10.627 Å, b = 10.627 Å, c = 10.627 Å
α = 160.67°, β = 160.67°, γ = 27.48°
Element x y z (fractional)
Ca (0.108, 0.108, 0.000)
Ca (0.892, 0.892, 0.000)
Nb (0.500, 0.500, 0.000)
Al (0.250, 0.750, 0.500)
Al (0.750, 0.250, 0.500)